No. 1
LaV3Rh (PBE, optimized geometry); size of the total moment = 4.88 μB per formula unit; uncorrected energy = -36.8 eV/cell; space-group type = Pm-3m; formation energy = 560 meV per atom; calculated density = 6.154 Mg/m³; energy relative to the lowest polymorph listed for this composition = 0 meV/atom
1.0
-3.4034 -1.3363 -3.0161
3.2105 -0.3457 -3.4696
0.7582 -4.5343 1.1535
V La Rh
3 1 1
Direct
0.0000 0.5000 0.0000
0.5000 0.0000 0.0000
0.0000 0.0000 0.5000
0.5000 0.5000 0.5000
0.0000 0.0000 0.0000

=====

No. 2
LaV2RhW (PBE, optimized geometry); size of the total moment = 2.27 μB per formula unit; uncorrected energy = -39.4 eV/cell; space-group type = P4/mmm; formation energy = 808 meV per atom; calculated density = 8.009 Mg/m³
1.0
4.7222 0.0000 0.0000
0.0000 4.9050 0.0000
0.0000 0.0000 4.7222
V W Rh La
2 1 1 1
Direct
0.5000 0.0000 0.0000
0.0000 0.0000 0.5000
0.0000 0.5000 0.0000
0.0000 0.0000 0.0000
0.5000 0.5000 0.5000

=====

No. 3
LaRhW2 (PBE, optimized geometry); size of the total moment = 0.00 μB per formula unit; uncorrected energy = -35.9 eV/cell; space-group type = I4/mmm; formation energy = 559 meV per atom; calculated density = 12.865 Mg/m³; energy relative to the lowest polymorph listed for this composition = 368 meV/atom
1.0
-1.9569 1.9569 5.1354
1.9569 -1.9569 5.1354
1.9569 1.9569 -5.1354
Rh W La
1 2 1
Direct
0.0000 0.0000 0.0000
0.7500 0.2500 0.5000
0.2500 0.7500 0.5000
0.5000 0.5000 0.0000